[1]
Ac2DyIr9 | PBE-GGA | relaxed

Summary:
Calculated formation energy = -5.229 eV per formula unit
Symmetry = R-3m, No. 166

Lattice parameters (Å, degrees): 5.404 5.404 9.580 73.62 73.62 60.00
Fractional positions:
1 Ac 0.139 0.139 0.583
2 Ac 0.861 0.861 0.417
3 Ir 0.424 0.424 0.235
4 Ir 0.917 0.424 0.235
5 Ir 0.083 0.576 0.765
6 Ir 0.332 0.332 0.005
7 Ir 0.576 0.083 0.765
8 Ir 0.500 0.500 0.500
9 Ir 0.576 0.576 0.765
10 Ir 0.668 0.668 0.995
11 Ir 0.424 0.917 0.235
12 Dy 0.000 0.000 0.000


[2]
MnCrRu2 | PBE-GGA | relaxed

Summary:
Calculated formation energy = 2.345 eV per formula unit
Symmetry = I-42d, No. 122

Lattice parameters (Å, degrees): 6.731 6.731 5.442 51.80 51.80 90.00
Site moments in Bohr magnetons follow the coordinates.
Fractional positions:
1 Mn 0.000 0.000 0.000  3.63
2 Mn 0.750 0.250 0.500  3.63
3 Ru 0.168 0.625 0.250  0.12
4 Ru 0.375 0.418 0.750  0.12
5 Ru 0.582 0.125 0.250  0.12
6 Ru 0.875 0.832 0.750  0.12
7 Cr 0.500 0.500 0.000  0.26
8 Cr 0.250 0.750 0.500  0.26


[3]
Nd2Pu2Tl3 | PBE-GGA | relaxed

Summary:
Calculated formation energy = -0.948 eV per formula unit
Symmetry = Cmmm, No. 65

Lattice parameters (Å, degrees): 4.757 3.519 12.003 90.00 78.57 90.00
Site moments in Bohr magnetons follow the coordinates.
Fractional positions:
1 Tl 0.000 0.000 0.000  0.02
2 Tl 0.848 0.000 0.304  -0.03
3 Tl 0.152 0.000 0.696  -0.03
4 Nd 0.575 0.500 0.850  0.07
5 Nd 0.425 0.500 0.150  0.07
6 Pu 0.286 0.500 0.429  5.68
7 Pu 0.714 0.500 0.571  5.68


[4]
GdSn2 | PBE-GGA | relaxed

Summary:
Calculated formation energy = -0.965 eV per formula unit
Symmetry = Fd-3m, No. 227

Lattice parameters (Å, degrees): 6.177 6.177 6.177 60.00 60.00 60.00
Site moments in Bohr magnetons follow the coordinates.
Fractional positions:
1 Sn 0.625 0.625 0.625  -0.02
2 Sn 0.625 0.625 0.125  -0.02
3 Sn 0.125 0.625 0.625  -0.02
4 Sn 0.625 0.125 0.625  -0.02
5 Gd 0.000 0.000 0.000  7.22
6 Gd 0.250 0.250 0.250  7.22


[5]
PaGaNiRu | PBE-GGA | relaxed

Summary:
Calculated formation energy = -1.439 eV per formula unit
Symmetry = F-43m, No. 216

Lattice parameters (Å, degrees): 4.579 4.579 4.579 60.00 60.00 60.00
Fractional positions:
1 Ni 0.250 0.250 0.250
2 Ru 0.750 0.750 0.750
3 Pa 0.500 0.500 0.500
4 Ga 0.000 0.000 0.000


[6]
Sr2MoPb | PBE-GGA | relaxed

Summary:
Calculated formation energy = 1.637 eV per formula unit
Symmetry = Amm2, No. 38

Lattice parameters (Å, degrees): 4.684 4.819 6.626 68.69 90.00 90.00
Site moments in Bohr magnetons follow the coordinates.
Fractional positions:
1 Mo 0.000 0.685 0.504  2.20
2 Pb 0.500 0.562 0.751  -0.09
3 Sr 0.500 0.270 0.334  0.00
4 Sr 0.000 0.982 0.912  -0.01


[7]
HfZr6In | PBE-GGA | relaxed

Summary:
Calculated formation energy = -0.784 eV per formula unit
Symmetry = P4/mmm, No. 123
Energy above the most stable polymorph in this dataset = 0.0 kJ/mol of atoms

Lattice parameters (Å, degrees): 4.482 4.482 9.101 90.00 90.00 90.00
Fractional positions:
1 Zr 0.000 0.500 0.253
2 Zr 0.500 0.500 0.500
3 Zr 0.000 0.500 0.747
4 Zr 0.500 0.000 0.253
5 Zr 0.500 0.000 0.747
6 Zr 0.500 0.500 0.000
7 In 0.000 0.000 0.000
8 Hf 0.000 0.000 0.500


[8]
BaMgTiN3 | PBE-GGA | relaxed

Summary:
Formation energy from raw total energies = -0.906 eV/atom
Symmetry = Cmcm, No. 63

Lattice parameters (Å, degrees): 5.650 5.726 6.061 118.19 90.00 90.00
Fractional positions:
1 N 0.500 0.238 0.000
2 N 0.000 0.238 0.000
3 N 0.500 0.762 0.000
4 N 0.000 0.762 0.000
5 N 0.250 0.233 0.466
6 N 0.750 0.767 0.534
7 Ba 0.750 0.256 0.512
8 Ba 0.250 0.744 0.488
9 Ti 0.750 0.944 0.888
10 Ti 0.250 0.056 0.112
11 Mg 0.750 0.566 0.132
12 Mg 0.250 0.434 0.868


[9]
ZnGaGe | PBE-GGA | relaxed

Summary:
Calculated formation energy = 0.378 eV per formula unit
Symmetry = Pnma, No. 62
Energy above the most stable polymorph in this dataset = 0.0 kJ/mol of atoms

Lattice parameters (Å, degrees): 3.871 6.183 9.579 90.00 90.00 90.00
Fractional positions:
1 Zn 0.750 0.713 0.384
2 Zn 0.250 0.213 0.116
3 Zn 0.250 0.287 0.616
4 Zn 0.750 0.787 0.884
5 Ga 0.750 0.352 0.917
6 Ga 0.750 0.148 0.417
7 Ga 0.250 0.852 0.583
8 Ga 0.250 0.648 0.083
9 Ge 0.250 0.067 0.845
10 Ge 0.750 0.567 0.655
11 Ge 0.250 0.433 0.345
12 Ge 0.750 0.933 0.155


[10]
Zr5Al3 | PBE-GGA | relaxed

Summary:
Calculated formation energy = -2.847 eV per formula unit
Symmetry = P6_3/mcm, No. 193
Energy above the most stable polymorph in this dataset = 2.1 kJ/mol of atoms

Lattice parameters (Å, degrees): 8.360 8.360 5.491 90.00 90.00 120.00
Fractional positions:
1 Zr 0.762 0.000 0.750
2 Zr 0.238 0.000 0.250
3 Zr 0.667 0.333 0.000
4 Zr 0.667 0.333 0.500
5 Zr 0.000 0.238 0.250
6 Zr 0.333 0.667 0.500
7 Zr 0.333 0.667 0.000
8 Zr 0.238 0.238 0.750
9 Zr 0.000 0.762 0.750
10 Zr 0.762 0.762 0.250
11 Al 0.607 0.000 0.250
12 Al 0.000 0.607 0.250
13 Al 0.393 0.000 0.750
14 Al 0.000 0.393 0.750
15 Al 0.607 0.607 0.750
16 Al 0.393 0.393 0.250


[11]
Al2GaGe2 | PBE-GGA | relaxed

Summary:
Calculated formation energy = 0.707 eV per formula unit
Symmetry = P4/mbm, No. 127
Energy above the most stable polymorph in this dataset = 1.9 kJ/mol of atoms

Lattice parameters (Å, degrees): 7.886 7.886 2.993 90.00 90.00 90.00
Fractional positions:
1 Al 0.361 0.139 0.500
2 Al 0.861 0.361 0.500
3 Al 0.139 0.639 0.500
4 Al 0.639 0.861 0.500
5 Ga 0.000 0.000 0.000
6 Ga 0.500 0.500 0.000
7 Ge 0.157 0.343 0.000
8 Ge 0.343 0.843 0.000
9 Ge 0.657 0.157 0.000
10 Ge 0.843 0.657 0.000


[12]
Be2NiCl | PBE-GGA | relaxed

Summary:
Formation energy from raw total energies = 0.511 eV/atom
Symmetry = Immm, No. 71
Energy above the most stable polymorph in this dataset = 62.1 kJ/mol of atoms

Lattice parameters (Å, degrees): 4.632 4.632 4.632 143.38 128.64 64.72
Fractional positions:
1 Ni 0.250 0.750 0.500
2 Be 0.997 0.997 0.000
3 Be 0.503 0.503 0.000
4 Cl 0.750 0.250 0.500


[13]
Tb3Nd12Al | PBE-GGA | relaxed

Summary:
Calculated formation energy = -0.276 eV per formula unit
Symmetry = P4/mmm, No. 123

Lattice parameters (Å, degrees): 5.074 5.074 20.616 90.00 90.00 90.00
Fractional positions:
1 Tb 0.000 0.000 0.754
2 Tb 0.000 0.000 0.246
3 Tb 0.000 0.000 0.500
4 Nd 0.500 0.000 0.628
5 Nd 0.500 0.000 0.372
6 Nd 0.500 0.000 0.883
7 Nd 0.000 0.500 0.628
8 Nd 0.000 0.500 0.117
9 Nd 0.000 0.500 0.372
10 Nd 0.500 0.000 0.117
11 Nd 0.500 0.500 0.500
12 Nd 0.500 0.500 0.244
13 Nd 0.500 0.500 0.756
14 Nd 0.500 0.500 0.000
15 Nd 0.000 0.500 0.883
16 Al 0.000 0.000 0.000


[14]
CeCd3Ag | PBE-GGA | relaxed

Summary:
Calculated formation energy = -0.819 eV per formula unit
Symmetry = Pnma, No. 62
Energy above the most stable polymorph in this dataset = 0.0 kJ/mol of atoms

Lattice parameters (Å, degrees): 5.098 9.653 9.608 90.00 90.00 90.00
Site moments in Bohr magnetons follow the coordinates.
Fractional positions:
1 Ce 0.250 0.252 0.005  0.84
2 Ce 0.750 0.248 0.505  0.84
3 Ce 0.750 0.748 0.995  0.84
4 Ce 0.250 0.752 0.495  0.84
5 Cd 0.250 0.891 0.153  0.00
6 Cd 0.250 0.404 0.652  0.00
7 Cd 0.250 0.588 0.138  0.00
8 Cd 0.750 0.912 0.638  0.00
9 Cd 0.250 0.088 0.362  0.00
10 Cd 0.250 0.904 0.848  0.00
11 Cd 0.750 0.596 0.348  0.00
12 Cd 0.750 0.609 0.653  0.00
13 Cd 0.750 0.109 0.847  0.00
14 Cd 0.750 0.412 0.862  0.00
15 Cd 0.250 0.391 0.347  0.00
16 Cd 0.750 0.096 0.152  0.00
17 Ag 0.750 0.390 0.156  0.00
18 Ag 0.250 0.610 0.844  0.00
19 Ag 0.750 0.890 0.344  0.00
20 Ag 0.250 0.110 0.656  0.00


[15]
CdGa2S | PBE-GGA | relaxed

Summary:
Formation energy from raw total energies = -0.070 eV/atom
Symmetry = R-3m, No. 166
Energy above the most stable polymorph in this dataset = 0.0 kJ/mol of atoms

Lattice parameters (Å, degrees): 3.436 3.436 9.222 79.26 79.26 60.00
Fractional positions:
1 S 0.500 0.500 0.500
2 Cd 0.000 0.000 0.000
3 Ga 0.894 0.894 0.317
4 Ga 0.106 0.106 0.683